## BaYHg2 (PBE)

Data for a relaxed BaYHg2 crystal.

The structure in POSCAR format:
```
BaYHg2
1.0
5.115 -0.117 0.095
3.366 3.852 0.095
1.987 0.875 7.039
Hg Y Ba
2 1 1
direct
0.986 0.987 0.076 Hg
0.513 0.514 0.424 Hg
0.250 0.250 0.250 Y
0.750 0.750 0.750 Ba
```

Calculated values
- total magnetization (μB per cell) = 0.00
- N(E_F) (states/eV per atom) = 0.9722
- SG = No. 12
- formation energy from the elements (kcal/mol of atoms) = -7.83